Entry from Alexandria via LeMat-Bulk: a geometry-optimized HfAgHSe2 structure (PBE).

a b c (Å): 5.1040 5.1040 5.6792
angles (deg): 90.00 90.00 90.00
Closest atoms and distances in Å follow each position.
Positions (direct):
Hf 0.0000 0.0000 0.0000  4 Se 2.55, 2 Ag 2.84
Ag 0.0000 0.0000 0.5000  2 Hf 2.84
H 0.5000 0.5000 0.5000  4 Ag 3.61, 8 Se 3.82
Se 0.0000 0.5000 0.0000  2 Hf 2.55
Se 0.5000 0.0000 0.0000  2 Hf 2.55

Properties
ρ: 5.0 g/cm3
E_tot: -4.2814 eV/atom